[1]
Density functional theory data (PBE-GGA) for a relaxed PSe crystal.

Calculated values
Offset from the most stable computed form, eV per atom: 0.0639
Crystal system: triclinic
E_form (uncorrected), kcal/mol of atoms: -0.37

a = 3.367 Å, b = 6.054 Å, c = 6.908 Å
α = 93.47°, β = 103.97°, γ = 105.45°
Element x y z (fractional)
P 0.115 0.690 0.049
P 0.885 0.310 0.951
Se 0.275 0.326 0.714
Se 0.725 0.674 0.286


[2]
Density functional theory data (PBE-GGA) for a relaxed Ca3DyH crystal.

Calculated values
Raw total energy, eV for the cell shown: -13.947
Crystal system: cubic

a = 5.268 Å, b = 5.268 Å, c = 5.268 Å
α = 90.00°, β = 90.00°, γ = 90.00°
Last column: magnetic moment on the atom in μB.
Element x y z (fractional)
H 0.000 0.000 0.000  0.00
Dy 0.500 0.500 0.500  0.23
Ca 0.000 0.500 0.000  0.04
Ca 0.500 0.000 0.000  0.04
Ca 0.000 0.000 0.500  0.04


[3]
Density functional theory data (PBE-GGA) for a relaxed Rb4NaOs3O12 crystal.

Calculated values
Crystal system: cubic
E_form (uncorrected), kcal/mol of atoms: -27.88

a = 7.086 Å, b = 7.086 Å, c = 7.086 Å
α = 109.47°, β = 109.47°, γ = 109.47°
Last column: magnetic moment on the atom in μB.
Element x y z (fractional)
Na 0.000 0.000 0.000  0.00
O 0.750 0.500 0.250  0.07
O 0.250 0.750 0.500  0.07
O 0.279 0.000 0.279  0.01
O 0.279 0.279 0.000  0.01
O 0.000 0.279 0.279  0.01
O 0.250 0.500 0.750  0.07
O 0.000 0.721 0.721  0.01
O 0.721 0.000 0.721  0.01
O 0.721 0.721 0.000  0.01
O 0.500 0.250 0.750  0.07
O 0.500 0.750 0.250  0.07
O 0.750 0.250 0.500  0.07
Os 0.000 0.500 0.500  0.19
Os 0.500 0.000 0.500  0.19
Os 0.500 0.500 0.000  0.19
Rb 0.500 0.500 0.500  0.00
Rb 0.000 0.500 0.000  0.00
Rb 0.000 0.000 0.500  0.00
Rb 0.500 0.000 0.000  0.00


[4]
Density functional theory data (PBE-GGA) for a relaxed Sr2CaAlPd crystal.

Calculated values
Raw total energy, eV for the cell shown: -15.507
Crystal system: tetragonal

a = 5.968 Å, b = 5.968 Å, c = 4.922 Å
α = 90.00°, β = 90.00°, γ = 90.00°
Element x y z (fractional)
Sr 0.500 0.000 0.000
Sr 0.000 0.500 0.000
Pd 0.000 0.000 0.000
Al 0.000 0.000 0.500
Ca 0.500 0.500 0.500


[5]
Density functional theory data (PBE-GGA) for a relaxed TlSnRh crystal.

Calculated values
Offset from the most stable computed form, eV per atom: 0.0058
Crystal system: cubic

a = 4.597 Å, b = 4.597 Å, c = 4.597 Å
α = 60.00°, β = 60.00°, γ = 60.00°
Element x y z (fractional)
Tl 0.000 0.000 0.000
Rh 0.250 0.250 0.250
Sn 0.500 0.500 0.500


[6]
Density functional theory data (PBE-GGA) for a relaxed Ta2TcBr crystal.

Calculated values
Offset from the most stable computed form, eV per atom: 0.0950
Crystal system: tetragonal
E_form (uncorrected), kcal/mol of atoms: 3.65

a = 3.101 Å, b = 3.101 Å, c = 7.470 Å
α = 90.00°, β = 90.00°, γ = 90.00°
Element x y z (fractional)
Br 0.500 0.500 0.750
Ta 0.000 0.000 0.033
Ta 0.000 0.000 0.467
Tc 0.500 0.500 0.250


[7]
Density functional theory data (PBE-GGA) for a relaxed SnAs2H crystal.

Calculated values
Offset from the most stable computed form, eV per atom: 0.0000
Crystal system: triclinic

a = 4.141 Å, b = 7.429 Å, c = 8.482 Å
α = 118.69°, β = 120.16°, γ = 82.70°
Element x y z (fractional)
H 0.759 0.870 0.939
H 0.338 0.438 0.177
As 0.643 0.388 0.784
As 0.793 0.809 0.310
As 0.047 0.914 0.892
As 0.767 0.449 0.255
Sn 0.530 0.974 0.574
Sn 0.962 0.507 0.636


[8]
Density functional theory data (PBE-GGA) for a relaxed GaCu crystal.

Calculated values
Raw total energy, eV for the cell shown: -42.190
Crystal system: hexagonal

a = 6.770 Å, b = 6.770 Å, c = 4.714 Å
α = 90.00°, β = 90.00°, γ = 120.00°
Element x y z (fractional)
Cu 0.368 0.467 0.250
Cu 0.099 0.632 0.250
Cu 0.467 0.099 0.750
Cu 0.533 0.901 0.250
Cu 0.632 0.533 0.750
Cu 0.901 0.368 0.750
Ga 0.065 0.784 0.750
Ga 0.784 0.719 0.250
Ga 0.935 0.216 0.250
Ga 0.216 0.281 0.750
Ga 0.719 0.935 0.750
Ga 0.281 0.065 0.250


[9]
Density functional theory data (PBE-GGA) for a relaxed YFeSe2 crystal.

Calculated values
Crystal system: cubic
E_form (uncorrected), kcal/mol of atoms: -17.75

a = 4.817 Å, b = 4.817 Å, c = 4.817 Å
α = 60.00°, β = 60.00°, γ = 60.00°
Last column: magnetic moment on the atom in μB.
Element x y z (fractional)
Fe 0.000 0.000 0.000  2.86
Se 0.250 0.250 0.250  0.08
Se 0.750 0.750 0.750  0.08
Y 0.500 0.500 0.500  -0.04


[10]
Density functional theory data (PBE-GGA) for a relaxed NbReB crystal.

Calculated values
Offset from the most stable computed form, eV per atom: 0.0000
Crystal system: orthorhombic

a = 3.179 Å, b = 6.508 Å, c = 11.109 Å
α = 90.00°, β = 90.00°, γ = 90.00°
Element x y z (fractional)
Nb 0.000 0.149 0.250
Nb 0.000 0.222 0.545
Nb 0.000 0.222 0.955
Nb 0.000 0.778 0.455
Nb 0.000 0.778 0.045
Nb 0.000 0.851 0.750
B 0.000 0.550 0.250
B 0.500 0.056 0.089
B 0.500 0.944 0.911
B 0.500 0.056 0.411
B 0.000 0.450 0.750
B 0.500 0.944 0.589
Re 0.500 0.572 0.879
Re 0.500 0.428 0.379
Re 0.500 0.804 0.250
Re 0.500 0.572 0.621
Re 0.500 0.196 0.750
Re 0.500 0.428 0.121


[11]
Density functional theory data (PBE-GGA) for a relaxed Li8PdAu6 crystal.

Calculated values
Raw total energy, eV for the cell shown: -46.249
Crystal system: trigonal

a = 7.768 Å, b = 7.768 Å, c = 6.921 Å
α = 55.87°, β = 55.87°, γ = 60.00°
Element x y z (fractional)
Li 0.870 0.600 0.354
Li 0.600 0.177 0.354
Li 0.130 0.400 0.646
Li 0.400 0.823 0.646
Li 0.177 0.870 0.354
Li 0.665 0.665 0.004
Li 0.335 0.335 0.996
Li 0.823 0.130 0.646
Au 0.603 0.956 0.147
Au 0.706 0.397 0.853
Au 0.956 0.294 0.147
Au 0.397 0.044 0.853
Au 0.294 0.603 0.147
Au 0.044 0.706 0.853
Pd 0.000 0.000 0.000


Copy entry 10 word for word.
Density functional theory data (PBE-GGA) for a relaxed NbReB crystal.

Calculated values
Offset from the most stable computed form, eV per atom: 0.0000
Crystal system: orthorhombic

a = 3.179 Å, b = 6.508 Å, c = 11.109 Å
α = 90.00°, β = 90.00°, γ = 90.00°
Element x y z (fractional)
Nb 0.000 0.149 0.250
Nb 0.000 0.222 0.545
Nb 0.000 0.222 0.955
Nb 0.000 0.778 0.455
Nb 0.000 0.778 0.045
Nb 0.000 0.851 0.750
B 0.000 0.550 0.250
B 0.500 0.056 0.089
B 0.500 0.944 0.911
B 0.500 0.056 0.411
B 0.000 0.450 0.750
B 0.500 0.944 0.589
Re 0.500 0.572 0.879
Re 0.500 0.428 0.379
Re 0.500 0.804 0.250
Re 0.500 0.572 0.621
Re 0.500 0.196 0.750
Re 0.500 0.428 0.121